DFT (PBE+U) results for a relaxed Re2WSF crystal.

Cell lengths 4.922, 4.003, 4.922 Å; angles 90.00, 90.00, 90.00 degrees
Each line ends with the local moment (μB).
Sites, in units of the cell vectors:
1 Re 0.000 0.000 0.500  1.70
2 Re 0.500 0.000 0.000  1.58
3 S 0.500 0.500 0.500  -0.07
4 W 0.000 0.000 0.000  -1.12
5 F 0.000 0.500 0.000  -0.01

The space group is No. 123. Its size of the total moment is 2.538 μB per cell. The value obtained for the total DFT energy (no corrections) is -30.489 eV for the cell shown.